No. 1
First-principles (PBE) data for a relaxed structure of CeHoMnZn, as listed in Alexandria.

a b c (Å): 5.000 5.000 5.000
angles (deg): 60.00 60.00 60.00
Fractional positions:
Ho 0.250 0.250 0.250
Zn 0.000 0.000 0.000
Ce 0.750 0.750 0.750
Mn 0.500 0.500 0.500

Values from the calculation:
Magnetic moment: 1.86 Bohr magnetons per cell
Calculated formation energy: -0.06 eV/f.u.
Calculated total energy: -5.25 eV/atom
V: 22.10 Å³/atom

---

No. 2
First-principles (PBE) data for a relaxed structure of TlCrAs, as listed in Alexandria.

a b c (Å): 4.603 4.603 4.603
angles (deg): 60.00 60.00 60.00
Fractional positions:
Tl 0.000 0.000 0.000
Cr 0.750 0.750 0.750
As 0.500 0.500 0.500

Values from the calculation:
Magnetic moment: 4.01 Bohr magnetons per cell
Calculated formation energy: 0.91 eV/f.u.
Calculated total energy: -5.24 eV/atom
V: 22.98 Å³/atom

---

No. 3
First-principles (PBE) data for a relaxed structure of TcHg3, as listed in Alexandria.

a b c (Å): 4.837 7.227 2.886
angles (deg): 78.48 90.00 109.55
Fractional positions:
Hg 0.250 0.500 0.250
Hg 0.566 0.132 0.434
Hg 0.934 0.868 0.066
Tc 0.750 0.500 0.750

Values from the calculation:
Magnetic moment: 0.29 Bohr magnetons per cell
Calculated formation energy: 2.02 eV/f.u.
Calculated total energy: -2.31 eV/atom
V: 23.22 Å³/atom

---

No. 4
First-principles (PBE) data for a relaxed structure of SmCd2Hg4, as listed in Alexandria.

a b c (Å): 5.023 5.023 8.696
angles (deg): 73.21 73.21 60.00
Fractional positions:
Hg 0.388 0.388 0.836
Cd 0.254 0.254 0.238
Sm 0.000 0.000 0.000
Hg 0.612 0.612 0.164
Hg 0.866 0.866 0.401
Cd 0.746 0.746 0.762
Hg 0.134 0.134 0.599

Values from the calculation:
Magnetic moment: 0.00 Bohr magnetons per cell
Calculated formation energy: -1.43 eV/f.u.
Calculated total energy: -1.31 eV/atom
V: 25.59 Å³/atom

---

No. 5
First-principles (PBE) data for a relaxed structure of Ta3TlSn, as listed in Alexandria.

a b c (Å): 5.056 5.056 5.056
angles (deg): 90.00 90.00 90.00
Fractional positions:
Sn 0.000 0.000 0.000
Tl 0.500 0.500 0.500
Ta 0.000 0.500 0.000
Ta 0.000 0.000 0.500
Ta 0.500 0.000 0.000

Values from the calculation:
Magnetic moment: 1.54 Bohr magnetons per cell
Calculated formation energy: 9.52 eV/f.u.
Calculated total energy: -6.48 eV/atom
V: 25.84 Å³/atom

---

No. 6
First-principles (PBE) data for a relaxed structure of GaH2Pd, as listed in Alexandria.

a b c (Å): 3.831 3.831 3.831
angles (deg): 60.00 60.00 60.00
Fractional positions:
H 0.250 0.250 0.250
Ga 0.000 0.000 0.000
Pd 0.500 0.500 0.500
H 0.750 0.750 0.750

Values from the calculation:
Magnetic moment: 0.00 Bohr magnetons per cell
Calculated total energy: -3.15 eV/atom
V: 9.94 Å³/atom

---

- Which value of calculated total energy does entry 5 give?
  -6.48 eV/atom

---

Please write out number 6 again, unchanged.
First-principles (PBE) data for a relaxed structure of GaH2Pd, as listed in Alexandria.

a b c (Å): 3.831 3.831 3.831
angles (deg): 60.00 60.00 60.00
Fractional positions:
H 0.250 0.250 0.250
Ga 0.000 0.000 0.000
Pd 0.500 0.500 0.500
H 0.750 0.750 0.750

Values from the calculation:
Magnetic moment: 0.00 Bohr magnetons per cell
Calculated total energy: -3.15 eV/atom
V: 9.94 Å³/atom

---

- Which of these has the lowest V?
  GaH2Pd